The following is a DFT calculation (GGA+U) of a geometry-optimized SbMoI2O structure.

Summary:
total magnetization: 0.980 μB/atom
total energy: -3.409 eV/atom
volume: 31.594 A^3/atom

```
data_SbMoI2O
_space_group_name_H-M_alt 'P 4/m m m'
_space_group_IT_number 123
_space_group_name_Hall '-P 4 2'
_cell_length_a 6.285
_cell_length_b 6.285
_cell_length_c 3.999
_cell_angle_alpha 90.00
_cell_angle_beta 90.00
_cell_angle_gamma 90.00
loop_
_atom_site_label
_atom_site_fract_x
_atom_site_fract_y
_atom_site_fract_z
Sb1 0.000 0.000 0.000
Mo1 0.500 0.500 0.000
I1 0.000 0.500 0.500
O1 0.000 0.000 0.500
```